(1)
## La2PmPrNd2 (PBE)

Data for crystalline La2PmPrNd2 at its relaxed geometry.

Values from the calculation:
M_tot: 0.00 μB/f.u.
formation enthalpy at 0 K: 1.3 eV/f.u.
total energy: -4.597 eV/atom
symmetry: Pnnm (58)

Cell lengths 3.497, 6.869, 18.214 Å; angles 90.00, 90.00, 90.00 degrees
Fractional positions:
Nd1 0.000 0.273 0.150
Nd2 0.000 0.727 0.850
Nd3 0.500 0.227 0.650
Nd4 0.500 0.773 0.350
La1 0.500 0.267 0.318
La2 0.500 0.733 0.682
La3 0.000 0.767 0.182
La4 0.000 0.233 0.818
Pr1 0.000 0.000 0.500
Pr2 0.500 0.500 0.000
Pm1 0.500 0.500 0.500
Pm2 0.000 0.000 0.000


(2)
## LaPm2Pr2Nd (PBE)

Data for crystalline LaPm2Pr2Nd at its relaxed geometry.

Values from the calculation:
M_tot: 0.00 μB/f.u.
formation enthalpy at 0 K: 1.4 eV/f.u.
total energy: -4.561 eV/atom
symmetry: Pnnm (58)

Cell lengths 3.481, 6.808, 18.313 Å; angles 90.00, 90.00, 90.00 degrees
Fractional positions:
Pm1 0.500 0.779 0.350
Pm2 0.500 0.221 0.650
Pm3 0.000 0.279 0.150
Pm4 0.000 0.721 0.850
Nd1 0.500 0.500 0.000
Nd2 0.000 0.000 0.500
Pr1 0.500 0.273 0.317
Pr2 0.000 0.773 0.183
Pr3 0.000 0.227 0.817
Pr4 0.500 0.727 0.683
La1 0.000 0.000 0.000
La2 0.500 0.500 0.500


(3)
## LaPm2PrNd4 (PBE)

Data for crystalline LaPm2PrNd4 at its relaxed geometry.

Values from the calculation:
M_tot: 0.00 μB/f.u.
formation enthalpy at 0 K: 0.1 eV/f.u.
total energy: -4.769 eV/atom
symmetry: P2/m (10)

Cell lengths 3.694, 12.261, 6.382 Å; angles 79.71, 90.00, 90.00 degrees
Fractional positions:
Pm1 0.000 0.000 0.000
Pm2 0.500 0.000 0.500
Nd1 0.500 0.248 0.750
Nd2 0.500 0.752 0.250
Nd3 0.000 0.753 0.750
Nd4 0.000 0.247 0.250
La1 0.500 0.500 0.000
Pr1 0.000 0.500 0.500